First-principles (GGA+U) data for crystalline NpV2AgO8 at its relaxed geometry, as listed in Alexandria via LeMat-Bulk.

Values from the calculation:
- Calculated density: 4.851 g cm⁻³
- Volume: 16.40 A^3/atom
- Total DFT energy (no corrections): -7.76 eV per atom

abc: 5.8806 5.8806 6.5695
angles: 90.00 90.00 120.00
Last column: nearest neighbours and their distance in Å.
Space group P-3m1 (No. 164)
One atom of each set of equivalent atoms:
Np: 0.0000 0.0000 0.0000 x1  6 O 2.13
V: 0.3333 0.6667 0.7149 x2  4 O 1.63-1.80
Ag: 0.0000 0.0000 0.5000 x1  6 O 2.62
O: 0.1668 0.3335 0.8043 x6  1 V 1.80
O: 0.3333 0.6667 0.4662 x2  1 V 1.63